{
  "formula": "TcMoIr",
  "functional": "PBEsol",
  "state": "relaxed",
  "lattice": [[-1.3409, 1.9510, 4.1371], [1.3409, -1.9510, 4.1371], [1.3409, 1.9510, -4.1371]],
  "species": ["Tc", "Mo", "Ir"],
  "fractional_positions": [[0.0000, 0.0000, 0.0000], [0.3300, 0.3300, 0.0000], [0.6619, 0.6619, 0.0000]],
  "polymorph_energy_mev_per_atom": 0,
  "delta_e_f_ev_per_atom": -0.07,
  "spacegroup": "Imm2"
}